[1]
DFT (PBE) results for AcPmSeO6 after structural relaxation.

Cell: 5.5960 5.5963 5.1511 Å, 90.00 90.00 60.00°
Closest atoms and distances in Å follow each position.
Fractional coordinates of all 9 atoms:
Ac (0.9999, 0.0000, 0.0000)  6 O 2.55
Pm (0.6666, 0.6667, 0.5001)  6 O 2.33
Se (0.3333, 0.3333, 0.5000)  6 O 1.85
O (0.0640, 0.3318, 0.2932)  1 Se 1.85
O (0.3317, 0.0641, 0.7068)  1 Se 1.85
O (0.6042, 0.3317, 0.7068)  1 Se 1.85
O (0.0641, 0.6042, 0.7067)  1 Se 1.85
O (0.3318, 0.6041, 0.2931)  1 Se 1.85
O (0.6041, 0.0641, 0.2932)  1 Se 1.85

Summary:
The value obtained for the uncorrected energy is -6.803 eV per atom. As for the space group: P312. The calculation puts the density at 6501 kg/m³.



[2]
DFT (PBE) results for AcPmSiO5 after structural relaxation.

Cell: 6.0404 6.0404 7.7004 Å, 101.04 101.04 108.35°
Closest atoms and distances in Å follow each position.
Fractional coordinates of all 16 atoms:
Ac (0.3423, 0.6577, 0.2500)  1 O 2.28
Ac (0.6577, 0.3423, 0.7500)  1 O 2.28
Pm (0.0000, 0.0000, 0.5000)  6 O 2.20-2.46
Pm (0.0000, 0.0000, 0.0000)  6 O 2.20-2.46
Si (0.6821, 0.3179, 0.2500)  4 O 1.67
Si (0.3179, 0.6821, 0.7500)  4 O 1.67
O (0.1097, 0.8903, 0.2500)  2 Pm 2.20, 1 Ac 2.28
O (0.8903, 0.1097, 0.7500)  2 Pm 2.20, 1 Ac 2.28
O (0.9008, 0.3349, 0.1442)  1 Si 1.67
O (0.0992, 0.6651, 0.8558)  1 Si 1.67
O (0.6651, 0.0992, 0.3558)  1 Si 1.67
O (0.3349, 0.9008, 0.6442)  1 Si 1.67
O (0.7291, 0.5727, 0.4067)  1 Si 1.67
O (0.2709, 0.4273, 0.5933)  1 Si 1.67
O (0.4273, 0.2709, 0.0933)  1 Si 1.67
O (0.5727, 0.7291, 0.9067)  1 Si 1.67

Summary:
The value obtained for the uncorrected energy is -8.078 eV per atom. As for the space group: C2/c. The calculation puts the density at 6327 kg/m³.



[3]
DFT (PBE) results for AcPm2SiO8 after structural relaxation.

Cell: 5.1330 5.1330 6.9943 Å, 90.00 90.00 120.00°
Closest atoms and distances in Å follow each position.
Fractional coordinates of all 12 atoms:
Ac (0.0000, 0.0000, 0.5000)  12 O 2.81-2.99
Pm (0.6667, 0.3333, 0.1350)  1 O 2.18
Pm (0.3333, 0.6667, 0.8650)  1 O 2.18
Si (0.0000, 0.0000, 0.0000)  6 O 1.77
O (0.8414, 0.6829, 0.8472)  1 Si 1.77
O (0.3171, 0.1586, 0.8472)  1 Si 1.77
O (0.8414, 0.1586, 0.8472)  1 Si 1.77
O (0.1586, 0.3171, 0.1528)  1 Si 1.77
O (0.6829, 0.8414, 0.1528)  1 Si 1.77
O (0.1586, 0.8414, 0.1528)  1 Si 1.77
O (0.6667, 0.3333, 0.4465)  1 Pm 2.18
O (0.3333, 0.6667, 0.5535)  1 Pm 2.18

Summary:
The value obtained for the uncorrected energy is -7.363 eV per atom. As for the space group: P-3m1. The calculation puts the density at 7003 kg/m³.



| no. | total magnetic moment (μB per formula unit) |
| --- | --- |
| 1 | 0.000 |
| 2 | 0.000 |
| 3 | 3.044 |